[1]
A plane-wave DFT calculation with PBE was carried out for a relaxed structure of Cs5Au2I2.

Summary:
VASP energy = -2.36 eV per atom
Mass density = 4.648 Mg/m³
Total moment = 0.022 μB per atom
SG = Cmce, No. 64

Cell and atoms, written as CIF:
```
data_Cs5Au2I2
_chemical_formula_sum 'Cs10 Au4 I4'
_space_group_name_H-M_alt 'P 1'
_space_group_IT_number 1
_cell_length_a 9.8566
_cell_length_b 9.8360
_cell_length_c 10.8509
_cell_angle_alpha 116.95
_cell_angle_beta 90.00
_cell_angle_gamma 90.00
loop_
_space_group_symop_operation_xyz
'x,y,z'
loop_
_atom_site_label
_atom_site_type_symbol
_atom_site_fract_x
_atom_site_fract_y
_atom_site_fract_z
_atom_site_occupancy
Cs1 Cs 0.8323 0.5395 0.7416 1
Au1 Au 0.8913 0.3912 0.0000 1
I1 I 0.0000 0.7970 0.5939 1
Cs2 Cs 0.8323 0.7979 0.2584 1
Cs3 Cs 0.5000 0.5000 0.0000 1
Au2 Au 0.1087 0.6088 0.0000 1
Cs4 Cs 0.6677 0.2979 0.2584 1
Cs5 Cs 0.1677 0.4605 0.2584 1
Au3 Au 0.6087 0.8912 0.0000 1
I2 I 0.5000 0.2970 0.5939 1
Cs6 Cs 0.3323 0.7021 0.7416 1
Cs7 Cs 0.1677 0.2021 0.7416 1
Au4 Au 0.3913 0.1088 0.0000 1
Cs8 Cs 0.0000 0.0000 0.0000 1
Cs9 Cs 0.3323 0.9605 0.2584 1
I3 I 0.0000 0.2030 0.4061 1
Cs10 Cs 0.6677 0.0395 0.7416 1
I4 I 0.5000 0.7030 0.4061 1
```

***

[2]
A plane-wave DFT calculation with PBE was carried out for a relaxed structure of CsAuI3.

Summary:
VASP energy = -2.31 eV per atom
Mass density = 5.104 Mg/m³
Total moment = 0.000 μB per atom
SG = Fd-3m, No. 227

Cell and atoms, written as CIF:
```
data_CsAuI3
_chemical_formula_sum 'Cs4 Au4 I12'
_space_group_name_H-M_alt 'P 1'
_space_group_IT_number 1
_cell_length_a 10.9356
_cell_length_b 10.9356
_cell_length_c 10.9356
_cell_angle_alpha 60.00
_cell_angle_beta 60.00
_cell_angle_gamma 60.00
loop_
_space_group_symop_operation_xyz
'x,y,z'
loop_
_atom_site_label
_atom_site_type_symbol
_atom_site_fract_x
_atom_site_fract_y
_atom_site_fract_z
_atom_site_occupancy
Cs1 Cs 0.6250 0.1250 0.1250 1
I1 I 0.3053 0.6947 0.3053 1
I2 I 0.6947 0.3053 0.3053 1
I3 I 0.6947 0.3053 0.6947 1
Cs2 Cs 0.1250 0.1250 0.1250 1
Cs3 Cs 0.1250 0.6250 0.1250 1
I4 I 0.5553 0.5553 0.9447 1
Au1 Au 0.6250 0.6250 0.1250 1
Au2 Au 0.1250 0.6250 0.6250 1
Cs4 Cs 0.1250 0.1250 0.6250 1
I5 I 0.9447 0.5553 0.5553 1
I6 I 0.9447 0.9447 0.5553 1
I7 I 0.3053 0.3053 0.6947 1
I8 I 0.5553 0.9447 0.9447 1
Au3 Au 0.6250 0.6250 0.6250 1
I9 I 0.3053 0.6947 0.6947 1
I10 I 0.6947 0.6947 0.3053 1
Au4 Au 0.6250 0.1250 0.6250 1
I11 I 0.9447 0.5553 0.9447 1
I12 I 0.5553 0.9447 0.5553 1
```

***

[3]
A plane-wave DFT calculation with PBE was carried out for a relaxed structure of CsAu2I2.

Summary:
VASP energy = -2.33 eV per atom
Mass density = 7.608 Mg/m³
Total moment = 0.000 μB per atom
SG = I4/mmm, No. 139
Distance to the lowest polymorph of the same formula = 94 meV/atom

Cell and atoms, written as CIF:
```
data_CsAu2I2
_chemical_formula_sum 'Cs1 Au2 I2'
_space_group_name_H-M_alt 'P 1'
_space_group_IT_number 1
_cell_length_a 4.1765
_cell_length_b 4.1765
_cell_length_c 10.2049
_cell_angle_alpha 78.19
_cell_angle_beta 78.19
_cell_angle_gamma 90.00
loop_
_space_group_symop_operation_xyz
'x,y,z'
loop_
_atom_site_label
_atom_site_type_symbol
_atom_site_fract_x
_atom_site_fract_y
_atom_site_fract_z
_atom_site_occupancy
Cs1 Cs 0.0000 0.0000 0.0000 1
I1 I 0.3759 0.3759 0.2482 1
Au1 Au 0.2500 0.7500 0.5000 1
I2 I 0.6241 0.6241 0.7518 1
Au2 Au 0.7500 0.2500 0.5000 1
```

***

[4]
A plane-wave DFT calculation with PBE was carried out for a relaxed structure of Cs2AuI6.

Summary:
VASP energy = -2.12 eV per atom
Mass density = 3.839 Mg/m³
Total moment = 0.099 μB per atom
SG = P4_2/mnm, No. 136

Cell and atoms, written as CIF:
```
data_Cs2AuI6
_chemical_formula_sum 'Cs4 Au2 I12'
_space_group_name_H-M_alt 'P 1'
_space_group_IT_number 1
_cell_length_a 8.1081
_cell_length_b 8.1081
_cell_length_c 16.1097
_cell_angle_alpha 90.00
_cell_angle_beta 90.00
_cell_angle_gamma 90.00
loop_
_space_group_symop_operation_xyz
'x,y,z'
loop_
_atom_site_label
_atom_site_type_symbol
_atom_site_fract_x
_atom_site_fract_y
_atom_site_fract_z
_atom_site_occupancy
I1 I 0.2382 0.2382 0.5000 1
I2 I 0.7382 0.2618 0.0000 1
I3 I 0.7618 0.7618 0.5000 1
I4 I 0.6731 0.6731 0.1274 1
I5 I 0.3269 0.3269 0.1274 1
I6 I 0.8269 0.1731 0.6274 1
I7 I 0.3269 0.3269 0.8726 1
I8 I 0.2618 0.7382 0.0000 1
Cs1 Cs 0.5000 0.5000 0.6679 1
Cs2 Cs 0.0000 0.0000 0.8321 1
Au1 Au 0.5000 0.5000 0.0000 1
Cs3 Cs 0.0000 0.0000 0.1679 1
I9 I 0.1731 0.8269 0.6274 1
Cs4 Cs 0.5000 0.5000 0.3321 1
Au2 Au 0.0000 0.0000 0.5000 1
I10 I 0.8269 0.1731 0.3726 1
I11 I 0.6731 0.6731 0.8726 1
I12 I 0.1731 0.8269 0.3726 1
```

***

[5]
A plane-wave DFT calculation with PBE was carried out for a relaxed structure of CsAuI3.

Summary:
VASP energy = -2.31 eV per atom
Mass density = 4.665 Mg/m³
Total moment = 0.000 μB per atom
SG = P6_3/mmc, No. 194

Cell and atoms, written as CIF:
```
data_CsAuI3
_chemical_formula_sum 'Cs2 Au2 I6'
_space_group_name_H-M_alt 'P 1'
_space_group_IT_number 1
_cell_length_a 5.6678
_cell_length_b 5.6678
_cell_length_c 18.1848
_cell_angle_alpha 90.00
_cell_angle_beta 90.00
_cell_angle_gamma 120.00
loop_
_space_group_symop_operation_xyz
'x,y,z'
loop_
_atom_site_label
_atom_site_type_symbol
_atom_site_fract_x
_atom_site_fract_y
_atom_site_fract_z
_atom_site_occupancy
I1 I 0.3333 0.6667 0.8950 1
I2 I 0.0000 0.0000 0.2500 1
Cs1 Cs 0.0000 0.0000 0.0000 1
Cs2 Cs 0.0000 0.0000 0.5000 1
I3 I 0.6667 0.3333 0.3950 1
Au1 Au 0.6667 0.3333 0.2500 1
I4 I 0.0000 0.0000 0.7500 1
I5 I 0.6667 0.3333 0.1050 1
Au2 Au 0.3333 0.6667 0.7500 1
I6 I 0.3333 0.6667 0.6050 1
```

***

[6]
A plane-wave DFT calculation with PBE was carried out for a relaxed structure of Cs5Au4I.

Summary:
VASP energy = -2.45 eV per atom
Mass density = 4.968 Mg/m³
Total moment = 0.000 μB per atom
SG = I4, No. 79
Distance to the lowest polymorph of the same formula = 0 meV/atom

Cell and atoms, written as CIF:
```
data_Cs5Au4I
_chemical_formula_sum 'Cs5 Au4 I1'
_space_group_name_H-M_alt 'P 1'
_space_group_IT_number 1
_cell_length_a 7.5187
_cell_length_b 9.1838
_cell_length_c 9.1836
_cell_angle_alpha 80.35
_cell_angle_beta 65.84
_cell_angle_gamma 65.83
loop_
_space_group_symop_operation_xyz
'x,y,z'
loop_
_atom_site_label
_atom_site_type_symbol
_atom_site_fract_x
_atom_site_fract_y
_atom_site_fract_z
_atom_site_occupancy
Au1 Au 0.2001 0.1973 0.4042 1
Cs1 Cs 0.5020 0.0000 0.0000 1
Cs2 Cs 0.8972 0.4117 0.7956 1
Cs3 Cs 0.3088 0.7956 0.5883 1
Au2 Au 0.8014 0.8027 0.5959 1
Au3 Au 0.3975 0.4041 0.8027 1
Cs4 Cs 0.6928 0.2044 0.4117 1
Cs5 Cs 0.1045 0.5883 0.2044 1
Au4 Au 0.6041 0.5959 0.1973 1
I1 I 0.0019 0.0000 0.0000 1
```

***

[7]
A plane-wave DFT calculation with PBE was carried out for a relaxed structure of Cs8Au2I.

Summary:
VASP energy = -1.69 eV per atom
Mass density = 2.748 Mg/m³
Total moment = 0.000 μB per atom
SG = P-3, No. 147

Cell and atoms, written as CIF:
```
data_Cs8Au2I
_chemical_formula_sum 'Cs8 Au2 I1'
_space_group_name_H-M_alt 'P 1'
_space_group_IT_number 1
_cell_length_a 7.7321
_cell_length_b 11.9578
_cell_length_c 11.9580
_cell_angle_alpha 120.02
_cell_angle_beta 90.00
_cell_angle_gamma 90.00
loop_
_space_group_symop_operation_xyz
'x,y,z'
loop_
_atom_site_label
_atom_site_type_symbol
_atom_site_fract_x
_atom_site_fract_y
_atom_site_fract_z
_atom_site_occupancy
Cs1 Cs 0.7595 0.8327 0.1654 1
Cs2 Cs 0.7235 0.3333 0.6667 1
Cs3 Cs 0.7595 0.3327 0.1673 1
Cs4 Cs 0.2405 0.6673 0.8327 1
I1 I 0.0000 0.0000 0.0000 1
Au1 Au 0.2118 0.3333 0.6667 1
Cs5 Cs 0.2406 0.1655 0.3327 1
Cs6 Cs 0.2405 0.1673 0.8346 1
Cs7 Cs 0.7594 0.8345 0.6673 1
Au2 Au 0.7882 0.6667 0.3333 1
Cs8 Cs 0.2765 0.6667 0.3333 1
```

***

[8]
A plane-wave DFT calculation with PBE was carried out for a relaxed structure of Cs8AuI6.

Summary:
VASP energy = -2.47 eV per atom
Mass density = 3.632 Mg/m³
Total moment = 0.000 μB per atom
SG = P-3, No. 147

Cell and atoms, written as CIF:
```
data_Cs8AuI6
_chemical_formula_sum 'Cs8 Au1 I6'
_space_group_name_H-M_alt 'P 1'
_space_group_IT_number 1
_cell_length_a 5.8604
_cell_length_b 13.4959
_cell_length_c 13.4959
_cell_angle_alpha 120.00
_cell_angle_beta 90.00
_cell_angle_gamma 90.00
loop_
_space_group_symop_operation_xyz
'x,y,z'
loop_
_atom_site_label
_atom_site_type_symbol
_atom_site_fract_x
_atom_site_fract_y
_atom_site_fract_z
_atom_site_occupancy
Cs1 Cs 0.2543 0.6667 0.3333 1
I1 I 0.2426 0.3513 0.8790 1
Cs2 Cs 0.7387 0.3034 0.0305 1
Cs3 Cs 0.7387 0.7271 0.6966 1
I2 I 0.7574 0.8790 0.5276 1
Cs4 Cs 0.7457 0.3333 0.6667 1
Cs5 Cs 0.2613 0.0305 0.7271 1
Cs6 Cs 0.2613 0.2729 0.3034 1
Cs7 Cs 0.7387 0.9695 0.2729 1
Au1 Au 0.5000 0.0000 0.0000 1
I3 I 0.7574 0.6487 0.1210 1
I4 I 0.2426 0.1210 0.4724 1
Cs8 Cs 0.2613 0.6966 0.9695 1
I5 I 0.2426 0.5276 0.6487 1
I6 I 0.7574 0.4724 0.3513 1
```